(1)
Entry from the Alexandria database: an optimized crystal structure of Be3ZnPd (PBE).

Unit cell a=4.235 b=4.235 c=4.235 alpha=90.00 beta=90.00 gamma=90.00
Fractional positions:
Be 0.000 0.000 0.500
Be 0.000 0.500 0.000
Be 0.500 0.000 0.000
Zn 0.500 0.500 0.500
Pd 0.000 0.000 0.000

Properties
Excess energy over the best structure of this formula in the dataset in eV per formula unit: 0.000

(2)
Entry from the Alexandria database: an optimized crystal structure of Be2ZnPd (PBE).

Unit cell a=5.116 b=5.116 c=5.116 alpha=103.88 beta=103.88 gamma=121.35
Fractional positions:
Be 0.119 0.625 0.994
Be 0.375 0.369 0.494
Be 0.631 0.125 0.006
Be 0.875 0.881 0.506
Zn 0.250 0.750 0.500
Zn 0.500 0.500 0.000
Pd 0.000 0.000 0.000
Pd 0.750 0.250 0.500

(3)
Entry from the Alexandria database: an optimized crystal structure of BeZn2Pd6 (PBE).

Unit cell a=7.897 b=7.897 c=4.077 alpha=90.00 beta=90.00 gamma=90.00
Fractional positions:
Be 0.000 0.000 0.000
Be 0.500 0.500 0.500
Zn 0.202 0.202 0.500
Zn 0.298 0.702 0.000
Zn 0.702 0.298 0.000
Zn 0.798 0.798 0.500
Pd 0.030 0.317 0.000
Pd 0.123 0.877 0.500
Pd 0.183 0.530 0.500
Pd 0.317 0.030 0.000
Pd 0.377 0.377 0.000
Pd 0.470 0.817 0.500
Pd 0.530 0.183 0.500
Pd 0.623 0.623 0.000
Pd 0.683 0.970 0.000
Pd 0.817 0.470 0.500
Pd 0.877 0.123 0.500
Pd 0.970 0.683 0.000

(4)
Entry from the Alexandria database: an optimized crystal structure of BeZn2Pd (PBE).

Unit cell a=2.997 b=2.997 c=5.798 alpha=90.00 beta=90.00 gamma=90.00
Fractional positions:
Be 0.000 0.000 0.000
Zn 0.500 0.500 0.228
Zn 0.500 0.500 0.772
Pd 0.000 0.000 0.500

(5)
Entry from the Alexandria database: an optimized crystal structure of BeZnPd (PBE).

Unit cell a=3.584 b=3.803 c=5.796 alpha=90.00 beta=107.89 gamma=90.00
Fractional positions:
Be 0.247 0.250 0.495
Be 0.753 0.750 0.505
Zn 0.410 0.750 0.820
Zn 0.590 0.250 0.180
Pd 0.108 0.750 0.215
Pd 0.892 0.250 0.785

Properties
Excess energy over the best structure of this formula in the dataset in eV per formula unit: 0.021

(6)
Entry from the Alexandria database: an optimized crystal structure of BeZnPd (PBE).

Unit cell a=4.862 b=4.862 c=4.862 alpha=145.01 beta=145.01 gamma=50.31
Fractional positions:
Be 0.000 0.000 0.000
Zn 0.670 0.670 0.000
Pd 0.366 0.366 0.000

Properties
Excess energy over the best structure of this formula in the dataset in eV per formula unit: 0.114

(7)
Entry from the Alexandria database: an optimized crystal structure of Be2ZnPd2 (PBE).

Unit cell a=6.753 b=6.753 c=2.765 alpha=90.00 beta=90.00 gamma=90.00
Fractional positions:
Be 0.143 0.357 0.000
Be 0.357 0.857 0.000
Be 0.643 0.143 0.000
Be 0.857 0.643 0.000
Zn 0.000 0.000 0.500
Zn 0.500 0.500 0.500
Pd 0.151 0.651 0.500
Pd 0.349 0.151 0.500
Pd 0.651 0.849 0.500
Pd 0.849 0.349 0.500

Properties
Excess energy over the best structure of this formula in the dataset in eV per formula unit: 0.497

(8)
Entry from the Alexandria database: an optimized crystal structure of Be2ZnPd3 (PBE).

Unit cell a=2.797 b=2.797 c=9.500 alpha=90.00 beta=90.00 gamma=90.00
Fractional positions:
Be 0.000 0.000 0.155
Be 0.000 0.000 0.845
Zn 0.000 0.000 0.500
Pd 0.500 0.500 0.000
Pd 0.500 0.500 0.303
Pd 0.500 0.500 0.697

(9)
Entry from the Alexandria database: an optimized crystal structure of Be2ZnPd (PBE).

Unit cell a=3.829 b=3.829 c=3.085 alpha=90.00 beta=90.00 gamma=90.00
Fractional positions:
Be 0.000 0.500 0.000
Be 0.500 0.000 0.000
Zn 0.000 0.000 0.500
Pd 0.500 0.500 0.500

(10)
Entry from the Alexandria database: an optimized crystal structure of BeZn5Pd6 (PBE).

Unit cell a=7.257 b=7.257 c=7.257 alpha=147.01 beta=125.30 gamma=65.38
Fractional positions:
Be 0.000 0.000 0.000
Zn 0.175 0.675 0.500
Zn 0.339 0.339 0.000
Zn 0.500 0.000 0.500
Zn 0.661 0.661 0.000
Zn 0.825 0.325 0.500
Pd 0.076 0.838 0.237
Pd 0.226 0.500 0.726
Pd 0.399 0.162 0.237
Pd 0.601 0.838 0.763
Pd 0.774 0.500 0.274
Pd 0.924 0.162 0.763

(11)
Entry from the Alexandria database: an optimized crystal structure of Be2ZnPd2 (PBE).

Unit cell a=6.556 b=6.556 c=2.801 alpha=90.00 beta=90.00 gamma=90.00
Fractional positions:
Be 0.124 0.376 0.000
Be 0.376 0.876 0.000
Be 0.624 0.124 0.000
Be 0.876 0.624 0.000
Zn 0.000 0.000 0.000
Zn 0.500 0.500 0.000
Pd 0.169 0.669 0.500
Pd 0.331 0.169 0.500
Pd 0.669 0.831 0.500
Pd 0.831 0.331 0.500

Properties
Excess energy over the best structure of this formula in the dataset in eV per formula unit: 0.000

(12)
Entry from the Alexandria database: an optimized crystal structure of BeZnPd (PBE).

Unit cell a=6.396 b=6.396 c=3.949 alpha=90.00 beta=90.00 gamma=152.51
Fractional positions:
Be 0.061 0.939 0.750
Be 0.939 0.061 0.250
Zn 0.271 0.729 0.250
Zn 0.729 0.271 0.750
Pd 0.416 0.584 0.750
Pd 0.584 0.416 0.250

Properties
Excess energy over the best structure of this formula in the dataset in eV per formula unit: 0.000

no.,DOS at the Fermi energy (states/eV/f.u.),calculated formation energy (eV/atom),electronic total energy (hartree per atom)
1,1.6,0.47,-0.11224
2,1.0,0.13,-0.12326
3,4.5,-0.44,-0.16886
4,0.9,-0.17,-0.11151
5,0.8,-0.38,-0.13869
6,1.0,-0.34,-0.13754
7,1.8,-0.37,-0.15421
8,1.1,-0.59,-0.17040
9,1.3,-0.27,-0.13763
10,2.2,-0.54,-0.14614
11,2.0,-0.47,-0.15786
12,0.9,-0.38,-0.13894